DFT (PBE-GGA) results for a relaxed structure of PaBi2PbN.

Computed properties:
N(E_F), states/eV per cell: 6.1
Crystal system: tetragonal
Total magnetic moment, Bohr magnetons per cell: 0.0
Raw total energy, eV per atom: -6.478
Calculated volume, Å³ per cell: 286.42

abc: 3.9978 3.9978 17.9210
angles: 90.00 90.00 90.00
Space group P4/nmm (No. 129, origin choice 2)
Asymmetric unit:
Pa: 0.2500 0.2500 0.0637
Bi: 0.2500 0.2500 0.4418
Bi: 0.2500 0.2500 0.8304
Pb: 0.2500 0.2500 0.6543
N: 0.2500 0.7500 0.0000



DFT (PBE-GGA) results for a relaxed structure of PaBiPbN.

Computed properties:
N(E_F), states/eV per cell: 3.1
Crystal system: tetragonal
Total magnetic moment, Bohr magnetons per cell: 0.0
Raw total energy, eV per atom: -7.049
Calculated volume, Å³ per cell: 200.58

abc: 4.1822 4.1822 11.4677
angles: 90.00 90.00 90.00
Space group P4/nmm (No. 129, origin choice 2)
Asymmetric unit:
Pa: 0.2500 0.2500 0.0916
Bi: 0.2500 0.2500 0.7504
Pb: 0.2500 0.7500 0.5000
N: 0.2500 0.7500 0.0000



The highest N(E_F) belongs to which entry? PaBi2PbN